Entry 1:
La2AlBr | PBEsol | optimized geometry

a b c (Å): 5.4564 5.4564 7.3066
angles (deg): 90.00 90.00 90.00
Space group I4/mmm (No. 139)
Inequivalent atoms, fractional coordinates:
La (0.0000, 0.5000, 0.2500)
Al (0.0000, 0.0000, 0.0000)
Br (0.0000, 0.0000, 0.5000)

## Properties
Formation energy without anion corrections, eV/atom: -0.6408
Fermi-level density of states, states/eV/f.u.: 3.1
Energy above the most stable polymorph in this dataset, eV per formula unit: 0.81



Entry 2:
ZrAg2Hg | PBEsol | optimized geometry

a b c (Å): 2.9904 4.0485 6.2149
angles (deg): 90.00 90.00 90.00
Space group Pmmm (No. 47)
Inequivalent atoms, fractional coordinates:
Zr (0.0000, 0.0000, 0.0000)
Ag (0.5000, 0.5000, 0.2471)
Hg (0.0000, 0.0000, 0.5000)

## Properties
Formation energy from the elements, eV/atom: -0.042
Fermi-level density of states, states/eV/f.u.: 2.3



Entry 3:
NiAgAs2 | PBEsol | optimized geometry

a b c (Å): 2.9161 2.9161 26.3080
angles (deg): 90.00 90.00 120.00
Space group R3m (No. 160, hexagonal axes)
Inequivalent atoms, fractional coordinates:
Ni (0.0000, 0.0000, 0.0000)
Ag (0.0000, 0.0000, 0.2539)
As (0.0000, 0.0000, 0.4983)
As (0.0000, 0.0000, 0.7277)

## Properties
Formation energy from the elements, eV/atom: 0.142
Fermi-level density of states, states/eV/f.u.: 2.3
Energy above the most stable polymorph in this dataset, eV per formula unit: 0.00



Entry 4:
LiTeRh2 | PBEsol | optimized geometry

a b c (Å): 3.0398 3.8769 5.1754
angles (deg): 90.00 90.00 90.00
Space group Pmm2 (No. 25)
Inequivalent atoms, fractional coordinates:
Li (0.0000, 0.0000, 0.0000)
Te (0.5000, 0.5000, 0.6919)
Rh (0.0000, 0.0000, 0.4825)
Rh (0.5000, 0.5000, 0.1919)

## Properties
Formation energy without anion corrections, eV/atom: -0.1788
Fermi-level density of states, states/eV/f.u.: 3.0



| no. | size of the total moment (μB per formula unit) | V (Å³/cell) | uncorrected energy (eV/cell) |
| --- | --- | --- | --- |
| 1 | 0.00 | 217.5 | -38.4 |
| 2 | 0.00 | 75.2 | -16.4 |
| 3 | 0.00 | 193.7 | -57.3 |
| 4 | 0.00 | 61.0 | -22.5 |